Compound: HoErCu2Pb
Source: OQMD via LeMat-Bulk
Functional: GGA-PBE
Structure: optimized geometry

Cell: 3.654 4.206 13.922 Å, 90.00 90.00 90.00°
Space group Amm2 (No. 38)
Unique sites:
1 Ho 0.000 0.000 0.000 (multiplicity 2)
2 Er 0.000 0.000 0.272 (multiplicity 2)
3 Cu 0.500 0.000 0.432 (multiplicity 2)
4 Cu 0.500 0.000 0.839 (multiplicity 2)
5 Pb 0.500 0.000 0.636 (multiplicity 2)

Volume = 21.40 Å³ per atom
Raw total energy = -44.3 eV per cell
ρ = 10.34 g/cm³